1.
A geometry-optimized Li2MgZn structure, computed with PBE.

```
Li2MgZn
1.0
5.118 -1.645 0.000
5.118 1.645 0.000
-2.074 0.000 4.143
Li Mg Zn
2 1 1
Cartesian
0.000 0.000 0.000
0.957 0.000 3.086
7.280 0.000 1.102
4.229 0.000 2.151
```

Properties
E: -1.7809 eV per atom
SG: Cm

---

2.
A geometry-optimized Dy2Ni2Pd structure, computed with PBE.

```
Dy2Ni2Pd
1.0
-2.047 2.896 3.920
2.047 -2.896 3.920
2.047 2.896 -3.920
Dy Ni Pd
2 2 1
Cartesian
0.000 0.000 1.693
0.000 0.000 6.147
2.047 1.174 0.000
0.000 1.722 3.920
0.000 2.896 0.000
```

Properties
E: -5.7743 eV per atom
SG: Immm

---

3.
A geometry-optimized Na2Hf2MnTe6 structure, computed with PBE.

```
Na2Hf2MnTe6
1.0
3.567 -6.229 0.000
3.567 6.229 0.000
-2.425 0.000 7.693
Na Hf Mn Te
2 2 1 6
Cartesian
3.567 4.165 0.000
3.567 -4.165 0.000
2.354 2.098 3.846
2.354 -2.098 3.846
-1.212 0.000 3.846
-0.015 2.076 5.518
1.179 0.000 2.206
-0.015 -2.076 5.518
4.724 2.076 2.174
3.530 0.000 5.487
4.724 -2.076 2.174
```

Properties
E: -5.3215 eV per atom
SG: C2/m
energy relative to the elements, uncorrected: -0.72 eV/atom

---

4.
A geometry-optimized HgH4Br2 structure, computed with PBE.

```
HgH4Br2
1.0
6.751 0.000 0.000
0.000 7.148 0.000
0.000 0.000 6.899
Hg H Br
2 8 4
Cartesian
0.000 0.000 0.000
3.376 3.574 3.449
1.298 1.424 3.449
1.613 4.405 0.000
1.762 0.831 3.449
2.077 4.998 0.000
4.674 2.150 0.000
4.989 6.317 3.449
5.138 2.743 0.000
5.453 5.724 3.449
1.452 5.060 3.449
1.924 1.486 0.000
4.828 5.662 0.000
5.299 2.088 3.449
```

Properties
E: -2.6102 eV per atom
SG: Pnnm

---

5.
A geometry-optimized AgSeN3 structure, computed with PBE.

```
AgSeN3
1.0
3.874 0.000 0.000
0.000 3.874 0.000
0.000 0.000 3.874
Ag Se N
1 1 3
Cartesian
0.000 0.000 0.000
1.937 1.937 1.937
0.000 1.937 1.937
1.937 0.000 1.937
1.937 1.937 0.000
```

Properties
E: -4.1583 eV per atom
SG: Pm-3m
energy relative to the elements, uncorrected: 2.10 eV/atom

---

6.
A geometry-optimized ZnNiP2 structure, computed with PBE.

```
ZnNiP2
1.0
-1.980 1.980 3.489
1.980 -1.980 3.489
1.980 1.980 -3.489
Zn Ni P
1 1 2
Cartesian
0.000 0.000 0.000
0.000 0.000 3.489
1.980 0.000 1.744
0.000 1.980 1.744
```

Properties
E: -4.2042 eV per atom
SG: I4/mmm

---

7.
A geometry-optimized FeI2 structure, computed with PBE.

```
FeI2
1.0
-3.367 6.506 2.982
3.367 -6.506 2.982
3.367 6.506 -2.982
Fe I
2 4
Cartesian
0.000 0.000 1.491
0.000 0.000 4.473
1.517 1.522 0.000
1.517 -1.522 2.982
1.850 8.028 0.000
1.850 4.985 2.982
```

Properties
E: -4.0400 eV per atom
SG: Ibam
energy relative to the elements, uncorrected: -0.19 eV/atom

---

8.
A geometry-optimized ZnCu2Au2 structure, computed with PBE.

```
ZnCu2Au2
1.0
-2.966 5.306 2.491
2.966 -5.306 2.491
2.966 5.306 -2.491
Zn Cu Au
2 4 4
Cartesian
0.000 0.000 1.245
0.000 0.000 3.736
3.866 0.835 0.000
0.900 4.471 0.000
2.066 0.835 2.491
-0.900 4.471 2.491
1.460 1.898 0.000
1.460 -1.898 2.491
1.506 7.204 0.000
1.506 3.407 2.491
```

Properties
E: -3.2015 eV per atom
SG: Ibam
relative energy among the computed polymorphs: 101 meV/atom

---

9.
A geometry-optimized Zr2CoRe structure, computed with PBE.

```
Zr2CoRe
1.0
3.282 0.000 0.000
0.000 3.282 0.000
0.000 0.000 6.482
Zr Co Re
2 1 1
Cartesian
0.000 0.000 0.000
1.641 1.641 1.999
0.000 0.000 3.561
1.641 1.641 4.884
```

Properties
E: -9.0541 eV per atom
SG: P4mm

---

10.
A geometry-optimized NbTeP structure, computed with PBE.

```
NbTeP
1.0
4.213 -1.773 0.000
4.213 1.773 0.000
-1.099 0.000 4.176
Nb Te P
1 1 1
Cartesian
0.000 0.000 0.000
4.795 0.000 2.322
2.517 0.000 0.374
```

Properties
E: -6.3854 eV per atom
SG: Cm
energy relative to the elements, uncorrected: -0.18 eV/atom

---

11.
A geometry-optimized LiHgPCl2 structure, computed with PBE.

```
LiHgPCl2
1.0
5.677 0.000 0.000
0.000 5.677 0.000
0.000 0.000 4.907
Li Hg P Cl
1 1 1 2
Cartesian
0.000 0.000 0.000
2.838 2.838 2.453
2.838 2.838 0.000
0.000 2.838 2.453
2.838 0.000 2.453
```

Properties
E: -2.3187 eV per atom
SG: P4/mmm
relative energy among the computed polymorphs: 0 meV/atom
energy relative to the elements, uncorrected: -0.05 eV/atom

---

12.
A geometry-optimized Cs2GaH6Au structure, computed with PBE.

```
Cs2GaH6Au
1.0
4.478 -4.496 0.000
4.478 4.496 0.000
-3.976 0.000 5.143
Cs Ga H Au
2 1 6 1
Cartesian
4.478 2.278 0.000
4.478 -2.278 0.000
2.361 0.000 2.484
-2.313 0.000 3.820
0.813 0.000 2.910
2.412 0.000 0.875
3.064 1.336 2.999
3.064 -1.336 2.999
6.669 0.000 0.501
6.651 0.000 2.166
```

Properties
E: -3.0407 eV per atom
SG: Cm

---

13.
A geometry-optimized CeY2Ga structure, computed with PBE.

```
CeY2Ga
1.0
3.500 0.000 0.000
0.000 3.500 0.000
0.000 0.000 8.847
Ce Y Ga
1 2 1
Cartesian
0.000 0.000 0.000
1.750 1.750 2.554
1.750 1.750 6.293
0.000 0.000 4.424
```

Properties
E: -5.7239 eV per atom
SG: P4/mmm
relative energy among the computed polymorphs: 0 meV/atom

---

14.
A geometry-optimized CdOs2Br structure, computed with PBE.

```
CdOs2Br
1.0
0.000 3.228 3.228
3.228 0.000 3.228
3.228 3.228 0.000
Cd Os Br
1 2 1
Cartesian
0.000 0.000 0.000
1.614 1.614 1.614
4.842 4.842 4.842
3.228 3.228 3.228
```

Properties
E: -4.6961 eV per atom
SG: Fm-3m
relative energy among the computed polymorphs: 1131 meV/atom
energy relative to the elements, uncorrected: 1.57 eV/atom

---

15.
A geometry-optimized NaMn2Os2 structure, computed with PBE.

```
NaMn2Os2
1.0
7.449 0.000 0.000
0.000 7.449 0.000
0.000 0.000 2.604
Na Mn Os
2 4 4
Cartesian
0.000 0.000 0.000
3.725 3.725 0.000
0.886 2.838 0.000
2.838 6.563 0.000
4.611 0.886 0.000
6.563 4.611 0.000
1.226 4.951 1.302
2.499 1.226 1.302
4.951 6.223 1.302
6.223 2.499 1.302
```

Properties
E: -8.0408 eV per atom
SG: P4/mbm
relative energy among the computed polymorphs: 26 meV/atom

---

16.
A geometry-optimized Ba2MgTa structure, computed with PBE.

```
Ba2MgTa
1.0
2.424 -2.442 0.000
2.424 2.442 0.000
0.000 0.000 11.057
Ba Mg Ta
2 1 1
Cartesian
0.000 0.000 2.572
0.000 0.000 8.485
2.424 0.000 5.529
2.424 0.000 0.000
```

Properties
E: -3.5499 eV per atom
SG: Cmmm

---

17.
A geometry-optimized Pm3Pr2In7 structure, computed with PBE.

```
Pm3Pr2In7
1.0
2.632 -12.756 0.000
2.632 12.756 0.000
0.000 0.000 5.494
Pm Pr In
3 2 7
Cartesian
0.000 0.000 0.000
2.632 8.838 0.000
2.632 -8.838 0.000
2.632 3.686 2.747
2.632 -3.686 2.747
2.632 10.952 2.747
2.632 7.025 2.747
2.632 1.928 0.000
2.632 0.000 2.747
2.632 -1.928 0.000
2.632 -7.025 2.747
2.632 -10.952 2.747
```

Properties
E: -3.8278 eV per atom
SG: Cmmm

---

18.
A geometry-optimized SnHPd3 structure, computed with PBE.

```
SnHPd3
1.0
4.201 0.000 0.000
-2.100 3.638 0.000
0.000 0.000 10.959
Sn H Pd
2 2 6
Cartesian
0.000 0.000 0.000
0.000 0.000 5.479
0.000 2.425 2.740
2.100 1.213 8.219
0.000 0.000 2.740
0.000 0.000 8.219
0.000 2.425 1.021
0.000 2.425 4.458
2.100 1.213 6.500
2.100 1.213 9.938
```

Properties
E: -4.7246 eV per atom
SG: P6_3/mmc
relative energy among the computed polymorphs: 253 meV/atom

---

19.
A geometry-optimized YAuI2N structure, computed with PBE.

```
YAuI2N
1.0
6.121 0.000 0.000
0.000 6.121 0.000
0.000 0.000 4.297
Y Au I N
1 1 2 1
Cartesian
0.000 0.000 0.000
3.061 3.061 2.148
0.000 3.061 0.000
3.061 0.000 0.000
0.000 0.000 2.148
```

Properties
E: -4.0841 eV per atom
SG: P4/mmm
relative energy among the computed polymorphs: 0 meV/atom
energy relative to the elements, uncorrected: 0.15 eV/atom